The following is a GGA-PBE calculation of LiCuTeS3 after structural relaxation, from Alexandria via LeMat-Bulk.

a b c (Å): 6.827 6.827 8.844
angles (deg): 90.00 90.00 148.35
Element x y z (fractional)
Li: 0.000 0.000 0.000
Li: 0.000 0.000 0.500
Cu: 0.475 0.525 0.750
Cu: 0.525 0.475 0.250
Te: 0.251 0.749 0.250
Te: 0.749 0.251 0.750
S: 0.080 0.920 0.750
S: 0.345 0.655 0.572
S: 0.345 0.655 0.928
S: 0.655 0.345 0.072
S: 0.655 0.345 0.428
S: 0.920 0.080 0.250

Values from the calculation:
SG = Cmcm (63)
Raw formation energy = -0.234 eV per atom
Total magnetization = 0.00 μB per cell